The following is a DFT calculation (PBEsol) of an optimized crystal structure of Lu2CdS4.

```
Lu2CdS4
1.0
7.743 0.000 0.000
3.871 6.705 0.000
3.871 2.235 6.322
Lu Cd S
4 2 8
Direct
0.625 0.125 0.625
0.625 0.625 0.125
0.625 0.625 0.625
0.125 0.625 0.625
0.250 0.250 0.250
0.000 0.000 0.000
0.383 0.383 0.850
0.867 0.400 0.867
0.400 0.867 0.867
0.867 0.867 0.867
0.850 0.383 0.383
0.383 0.383 0.383
0.867 0.867 0.400
0.383 0.850 0.383
```

Values from the calculation:
Calculated total energy = -80.61 eV for the cell shown
V = 328.2 Å³ per cell
Formation energy from raw total energies = -38.97 kcal/mol of atoms
Magnetic moment = 0.000 μB/cell
ρ = 6.0 g/cm3